# 1
This record from the Alexandria database describes a relaxed Th3InSi2Rh9 crystal. The functional is PBE-GGA.

Computed properties:
The density of states at the Fermi level is 0.393 states/eV per atom. The total energy is -7.46 eV per atom. Its uncorrected formation energy is -0.6582 eV per atom.

Cell: 6.0271 6.0271 9.8105 Å, 90.00 90.00 120.00°
Last column: nearest neighbours and their distance in Å.
Space group P-3m1 (No. 164)
One atom of each set of equivalent atoms:
Th 0.0000 0.0000 0.0000 x1  12 Rh 3.01-3.10
Th 0.3333 0.6667 0.7286 x2  9 Rh 3.02-3.18
In 0.0000 0.0000 0.5000 x1  6 Rh 2.72
Si 0.3333 0.6667 0.1570 x2  6 Rh 2.23-2.32
Rh 0.0000 0.5000 0.0000 x3  2 Si 2.32
Rh 0.1501 0.3001 0.2730 x6  1 Si 2.23

=====

# 2
This record from the Alexandria database describes a relaxed Sm2Sb4Pd3Rh crystal. The functional is PBE-GGA.

Computed properties:
The density of states at the Fermi level is 0.407 states/eV per atom. The total energy is -5.64 eV per atom. Its uncorrected formation energy is -0.7586 eV per atom.

Cell: 4.5181 4.5181 10.9787 Å, 90.00 90.00 90.00°
Last column: nearest neighbours and their distance in Å.
Space group P-4m2 (No. 115)
One atom of each set of equivalent atoms:
Sm 0.0000 0.5000 0.2306 x2  8 Sb 3.39-3.72, 2 Rh 3.39, 6 Pd 3.39-3.51
Sb 0.0000 0.0000 0.5000 x1  4 Pd 2.72
Sb 0.0000 0.5000 0.8720 x2  3 Pd 2.58-2.66, 2 Rh 2.66
Sb 0.5000 0.5000 0.5000 x1  4 Pd 2.72
Pd 0.0000 0.0000 0.0000 x1  4 Sb 2.66
Pd 0.0000 0.5000 0.6372 x2  5 Sb 2.58-2.72
Rh 0.5000 0.5000 0.0000 x1  4 Sb 2.66

=====

# 3
This record from the Alexandria database describes a relaxed Li3Ce3InSe8 crystal. The functional is PBE-GGA.

Computed properties:
The density of states at the Fermi level is 0.915 states/eV per atom. The total energy is -5.00 eV per atom. Its uncorrected formation energy is -1.3863 eV per atom.

Cell: 8.3105 8.3105 19.4181 Å, 90.00 90.00 120.00°
Last column: nearest neighbours and their distance in Å.
Space group R-3m (No. 166, hexagonal axes)
One atom of each set of equivalent atoms:
Li 0.0000 0.5000 0.0000 x9  6 Se 2.86
Ce 0.0000 0.5000 0.5000 x9  6 Se 2.93
In 0.0000 0.0000 0.5000 x3  6 Se 2.83
Se 0.0000 0.0000 0.2530 x6  3 Li 2.86, 3 Ce 2.93
Se 0.0118 0.5059 0.2504 x18  1 In 2.83, 2 Li 2.86, 2 Ce 2.93

=====

# 4
This record from the Alexandria database describes a relaxed ScBeCr3 crystal. The functional is PBE-GGA.

Computed properties:
The density of states at the Fermi level is 1.323 states/eV per atom. The total energy is -7.03 eV per atom.

Cell: 4.1008 4.1008 4.1008 Å, 90.00 90.00 90.00°
Last column: nearest neighbours and their distance in Å.
Space group Pm-3m (No. 221)
One atom of each set of equivalent atoms:
Sc 0.0000 0.0000 0.0000 x1  12 Cr 2.90
Be 0.5000 0.5000 0.5000 x1  6 Cr 2.05
Cr 0.0000 0.5000 0.5000 x3  2 Be 2.05

=====

# 5
This record from the Alexandria database describes a relaxed NdGdCd crystal. The functional is PBE-GGA.

Computed properties:
The density of states at the Fermi level is 1.298 states/eV per atom. The calculation puts the energy relative to the lowest polymorph listed for this composition at 0 meV per atom. The total energy is -6.68 eV per atom.

Cell: 5.3427 5.3427 3.6000 Å, 90.00 90.00 120.00°
Last column: nearest neighbours and their distance in Å.
Space group P3m1 (No. 156)
One atom of each set of equivalent atoms:
Nd 0.0000 0.0000 0.0000 x1  3 Cd 3.28, 3 Gd 3.44, 2 Nd 3.60
Gd 0.6667 0.3333 0.5745 x1  3 Cd 3.23, 3 Nd 3.44, 2 Gd 3.60
Cd 0.3333 0.6667 0.3123 x1  3 Gd 3.23, 3 Nd 3.28, 2 Cd 3.60

=====

# 6
This record from the Alexandria database describes a relaxed InSi2Te6Au crystal. The functional is PBE-GGA.

Computed properties:
The total energy is -3.64 eV per atom. Its uncorrected formation energy is -0.0708 eV per atom.

Cell: 14.7929 14.6703 7.0328 Å, 90.00 115.34 90.00°
Last column: nearest neighbours and their distance in Å.
Space group C2/c (No. 15)
One atom of each set of equivalent atoms:
In 0.0000 0.1829 0.2500 x4  4 Te 2.88-2.91
Si 0.2096 0.4270 0.3015 x8  4 Te 2.52-2.61
Te 0.1070 0.0712 0.6140 x8  1 Si 2.52
Te 0.1340 0.4351 0.5656 x8  2 Si 2.55
Te 0.1435 0.2691 0.1261 x8  1 Si 2.61, 1 Au 2.62, 1 In 2.91
Au 0.0000 0.2976 0.7500 x4  2 Te 2.62

=====

# 7
This record from the Alexandria database describes a relaxed Ca3Ga3Sn2O12 crystal. The functional is PBE-GGA.

Computed properties:
The density of states at the Fermi level is 0.890 states/eV per atom. The total energy is -6.27 eV per atom. Its uncorrected formation energy is -2.1434 eV per atom.

Cell: 12.7539 12.7539 12.7539 Å, 90.00 90.00 90.00°
Last column: nearest neighbours and their distance in Å.
Space group Ia-3d (No. 230)
One atom of each set of equivalent atoms:
Ca 0.0000 0.2500 0.1250 x24  8 O 2.44-2.56
Ga 0.0000 0.2500 0.3750 x24  4 O 1.87
Sn 0.0000 0.0000 0.0000 x16  6 O 2.09
O 0.0300 0.0533 0.6518 x96  1 Ga 1.87, 1 Sn 2.09

=====

# 8
This record from the Alexandria database describes a relaxed SrLiMgAg crystal. The functional is PBE-GGA.

Computed properties:
The density of states at the Fermi level is 0.440 states/eV per atom. The total energy is -2.18 eV per atom.

Cell: 8.4095 4.8627 6.0732 Å, 90.00 117.71 90.00°
Last column: nearest neighbours and their distance in Å.
Space group Cm (No. 8)
One atom of each set of equivalent atoms:
Sr 0.0000 0.0000 0.0000 x2  4 Li 3.23-3.54, 4 Ag 3.25-3.53
Li 0.3000 0.5000 0.4000 x2  3 Mg 2.91, 3 Ag 3.00-3.02, 1 Sr 3.23
Mg 0.0139 0.5000 0.5426 x2  3 Ag 2.82, 3 Li 2.91
Ag 0.2007 0.0000 0.6035 x2  3 Mg 2.82, 3 Li 3.00-3.02

=====

# 9
This record from the Alexandria database describes a relaxed Ti5Ga2H crystal. The functional is PBE-GGA.

Computed properties:
The density of states at the Fermi level is 1.097 states/eV per atom. The total energy is -6.32 eV per atom.

Cell: 5.7290 5.7290 7.6068 Å, 90.00 90.00 90.00°
Last column: nearest neighbours and their distance in Å.
Space group I4mm (No. 107)
One atom of each set of equivalent atoms:
Ti 0.0000 0.0000 0.0000 x2  1 H 1.95
Ti 0.2460 0.2460 0.7472 x8  1 H 2.06
Ga 0.0000 0.5000 0.4965 x4  10 Ti 2.77-2.86
H 0.0000 0.0000 0.2560 x2  5 Ti 1.95-2.06

=====

# 10
This record from the Alexandria database describes a relaxed Mn5OsRu crystal. The functional is PBE-GGA.

Computed properties:
The density of states at the Fermi level is 1.112 states/eV per atom. The total energy is -9.33 eV per atom.

Cell: 7.6786 4.5815 9.8329 Å, 90.00 90.00 90.00°
Last column: nearest neighbours and their distance in Å.
Space group Pnma (No. 62)
One atom of each set of equivalent atoms:
Mn 0.0446 0.2500 0.0811 x4  1 Os 2.38, 4 Mn 2.54-2.56
Mn 0.0746 0.5079 0.3109 x8  6 Mn 2.22-2.42
Mn 0.0845 0.7500 0.5208 x4  5 Mn 2.29-2.37
Mn 0.1928 0.7500 0.7382 x4  5 Mn 2.26-2.42
Os 0.1326 0.2500 0.8495 x4  7 Mn 2.38-2.58
Ru 0.2418 0.2500 0.5640 x4  8 Mn 2.62-2.88, 1 Os 2.93

=====

# 11
This record from the Alexandria database describes a relaxed Ce2PdPt3 crystal. The functional is PBE-GGA.

Computed properties:
The density of states at the Fermi level is 1.407 states/eV per atom. The total energy is -6.81 eV per atom.

Cell: 7.1687 3.9511 17.3485 Å, 90.00 90.00 90.00°
Last column: nearest neighbours and their distance in Å.
Space group Pnma (No. 62)
One atom of each set of equivalent atoms:
Ce 0.0837 0.2500 0.2047 x4  7 Pt 2.94-3.07, 2 Pd 3.13
Ce 0.1559 0.2500 0.4295 x4  7 Pt 2.85-3.11
Pd 0.0061 0.7500 0.0686 x4  5 Pt 2.73-3.06
Pt 0.1162 0.2500 0.6507 x4  4 Pt 2.82-2.83, 1 Pd 3.06, 4 Ce 3.07-3.11
Pt 0.2360 0.2500 0.8061 x4  1 Pd 2.78, 2 Pt 2.83, 6 Ce 2.94-3.03
Pt 0.2366 0.7500 0.5455 x4  3 Pd 2.73-2.77, 2 Pt 2.82, 4 Ce 2.85-3.05

=====

# 12
This record from the Alexandria database describes a relaxed Ti3SnH2 crystal. The functional is PBE-GGA.

Computed properties:
The density of states at the Fermi level is 0.930 states/eV per atom. The total energy is -6.11 eV per atom.

Cell: 4.0509 4.0509 9.1327 Å, 90.00 90.00 90.00°
Last column: nearest neighbours and their distance in Å.
Space group I4/mmm (No. 139)
One atom of each set of equivalent atoms:
Ti 0.0000 0.0000 0.0000 x2  2 H 1.89
Ti 0.0000 0.5000 0.2500 x4  4 H 2.06
Sn 0.0000 0.0000 0.5000 x2  2 H 2.68, 4 Ti 2.86
H 0.0000 0.0000 0.2066 x4  5 Ti 1.89-2.06

=====

- Number 2 is which compound?
  Sm2Sb4Pd3Rh